1.
Density functional theory data (PBE) for crystalline YCuPb at its relaxed geometry.

a b c (Å): 4.6046 4.6046 7.3520
angles (deg): 90.00 90.00 120.00
Positions (direct):
Cu  0.6667  0.3333  0.5531
Y  0.0000  0.0000  0.2338
Pb  0.6667  0.3333  0.9631
Cu  0.3333  0.6667  0.0531
Y  0.0000  0.0000  0.7338
Pb  0.3333  0.6667  0.4631

Summary:
Total DFT energy (no corrections) in eV per formula unit: -15.11
Crystal system: hexagonal

2.
Density functional theory data (PBE) for crystalline KNbCuTe2S at its relaxed geometry.

a b c (Å): 8.1562 8.1562 9.9910
angles (deg): 90.00 90.00 152.67
Positions (direct):
Cu  0.9744  0.0256  0.7500
Te  0.8714  0.1286  0.9497
S  0.4469  0.5531  0.2500
Te  0.1286  0.8714  0.0503
K  0.2299  0.7702  0.7500
Te  0.8714  0.1286  0.5503
Te  0.1286  0.8714  0.4497
S  0.5531  0.4469  0.7500
Nb  0.5000  0.5000  0.0000
Cu  0.0256  0.9744  0.2500
K  0.7702  0.2299  0.2500
Nb  0.5000  0.5000  0.5000

Summary:
Total DFT energy (no corrections) in eV per formula unit: -28.74
Crystal system: orthorhombic

no.,density (Mg/m³),volume (Å³ per cell)
1,8.85,135
2,5.25,305